Material: AlPbCl
Method: DFT, PBE-GGA
State: optimized geometry

Properties
Formation energy without anion corrections in eV per formula unit: -0.14
Space group: P3m1, No. 156

Unit cell a=5.1326 b=5.1326 c=3.1793 alpha=90.00 beta=90.00 gamma=120.00
Last column: nearest neighbours and their distance in Å.
Positions (direct):
Al (0.0000, 0.0000, 0.0000)  3 Cl 2.96, 2 Al 3.18
Pb (0.6667, 0.3333, 0.5008)  2 Pb 3.18, 6 Cl 3.36-3.37, 6 Al 3.36
Cl (0.3333, 0.6667, 0.9964)  3 Al 2.96, 2 Cl 3.18



Material: Ba3Mg2Ag7
Method: DFT, PBE-GGA
State: optimized geometry

Properties
Electronic total energy in Ry/atom: -0.1924
Space group: R-3m, No. 166

Unit cell a=9.9667 b=9.9667 c=9.9667 alpha=36.19 beta=36.19 gamma=36.19
Last column: nearest neighbours and their distance in Å.
Positions (direct):
Ba (0.0000, 0.0000, 0.0000)  6 Mg 3.58, 12 Ag 3.81
Ba (0.1439, 0.1439, 0.1439)  12 Ag 3.57-3.63, 3 Ba 3.79
Ba (0.8561, 0.8561, 0.8561)  12 Ag 3.57-3.63, 3 Ba 3.79
Mg (0.3302, 0.3302, 0.3302)  6 Ag 2.82-2.89
Mg (0.6698, 0.6698, 0.6698)  6 Ag 2.82-2.89
Ag (0.0888, 0.5749, 0.5749)  2 Mg 2.82-2.89, 3 Ag 2.99-3.01
Ag (0.4251, 0.4251, 0.9112)  2 Mg 2.82-2.89, 3 Ag 2.99-3.01
Ag (0.4251, 0.9112, 0.4251)  2 Mg 2.82-2.89, 3 Ag 2.99-3.01
Ag (0.5000, 0.5000, 0.5000)  6 Ag 2.99
Ag (0.5749, 0.0888, 0.5749)  2 Mg 2.82-2.89, 3 Ag 2.99-3.01
Ag (0.5749, 0.5749, 0.0888)  2 Mg 2.82-2.89, 3 Ag 2.99-3.01
Ag (0.9112, 0.4251, 0.4251)  2 Mg 2.82-2.89, 3 Ag 2.99-3.01



Material: MgAuBr6
Method: DFT, PBE-GGA
State: optimized geometry

Properties
Formation energy without anion corrections in eV per formula unit: -4.14
Space group: P-1, No. 2

Unit cell a=5.9860 b=7.0659 c=7.1216 alpha=83.53 beta=70.71 gamma=86.07
Last column: nearest neighbours and their distance in Å.
Positions (direct):
Mg (0.0000, 0.0000, 0.0000)  6 Br 2.70-2.73
Au (0.5000, 0.5000, 0.0000)  4 Br 2.48-2.61
Br (0.0372, 0.1224, 0.6178)  2 Br 2.69-2.86, 1 Mg 2.70
Br (0.2545, 0.3188, 0.8385)  1 Au 2.61, 1 Mg 2.73, 1 Br 2.86
Br (0.4037, 0.8027, 0.8264)  1 Au 2.48, 1 Mg 2.70
Br (0.5963, 0.1973, 0.1736)  1 Au 2.48, 1 Mg 2.70
Br (0.7455, 0.6812, 0.1615)  1 Au 2.61, 1 Mg 2.73, 1 Br 2.86
Br (0.9628, 0.8776, 0.3822)  2 Br 2.69-2.86, 1 Mg 2.70



Material: Ba2TiIO6
Method: DFT, PBE-GGA
State: optimized geometry

Properties
Formation energy without anion corrections in eV per formula unit: -20.73
Space group: I4/mmm, No. 139

Unit cell a=6.1615 b=6.1615 c=6.1615 alpha=123.98 beta=123.98 gamma=83.24
Last column: nearest neighbours and their distance in Å.
Positions (direct):
Ba (0.2500, 0.7500, 0.5000)  12 O 2.92-3.08
Ba (0.7500, 0.2500, 0.5000)  12 O 2.92-3.08
Ti (0.0000, 0.0000, 0.0000)  6 O 1.92-2.02
I (0.5000, 0.5000, 0.0000)  4 O 2.08
O (0.2087, 0.2087, 0.0000)  1 Ti 1.92
O (0.2462, 0.2462, 0.4924)  1 Ti 2.02, 1 I 2.08
O (0.2462, 0.7538, 0.0000)  1 Ti 2.02, 1 I 2.08
O (0.7538, 0.2462, 0.0000)  1 Ti 2.02, 1 I 2.08
O (0.7538, 0.7538, 0.5076)  1 Ti 2.02, 1 I 2.08
O (0.7913, 0.7913, 0.0000)  1 Ti 1.92



Material: Sr4SbS2Cl
Method: DFT, PBE-GGA
State: optimized geometry

Properties
Formation energy without anion corrections in eV per formula unit: -14.43
Space group: Fmm2, No. 42

Unit cell a=7.7162 b=6.2976 c=7.7162 alpha=65.92 beta=48.17 gamma=65.92
Last column: nearest neighbours and their distance in Å.
Positions (direct):
Sr (0.2498, 0.7502, 0.2498)  4 S 3.15, 1 Cl 3.15, 1 Sb 3.15
Sr (0.4997, 0.9995, 0.5003)  2 Cl 3.15, 2 Sb 3.15, 2 S 3.15
Sr (0.7502, 0.2498, 0.7502)  4 S 3.15, 1 Cl 3.15, 1 Sb 3.15
Sr (0.9995, 0.4997, 0.0005)  2 Cl 3.15, 2 Sb 3.15, 2 S 3.15
Sb (0.4994, 0.4994, 0.5006)  6 Sr 3.15
S (0.2499, 0.2499, 0.2501)  6 Sr 3.15
S (0.7499, 0.7499, 0.7501)  6 Sr 3.15
Cl (0.9996, 0.9996, 0.0004)  6 Sr 3.15



Material: Na2TeHPd
Method: DFT, PBE-GGA
State: optimized geometry

Properties
Electronic total energy in Ry/atom: -0.2379
Space group: P4/mmm, No. 123

Unit cell a=4.5779 b=4.5779 c=4.1856 alpha=90.00 beta=90.00 gamma=90.00
Last column: nearest neighbours and their distance in Å.
Positions (direct):
Na (0.0000, 0.5000, 0.0000)  2 H 2.29
Na (0.5000, 0.0000, 0.0000)  2 H 2.29
Te (0.0000, 0.0000, 0.5000)  8 Na 3.10, 4 Pd 3.24
H (0.5000, 0.5000, 0.0000)  2 Pd 2.09, 4 Na 2.29
Pd (0.5000, 0.5000, 0.5000)  2 H 2.09



Material: Nd2Tc3Os
Method: DFT, PBE-GGA
State: optimized geometry

Properties
Electronic total energy in Ry/atom: -0.6350
Space group: C2/m, No. 12

Unit cell a=5.3153 b=5.3153 c=5.6541 alpha=118.12 beta=118.12 gamma=60.18
Last column: nearest neighbours and their distance in Å.
Positions (direct):
Nd (0.1261, 0.1261, 0.3782)  3 Os 3.12-3.13, 9 Tc 3.20-3.33, 3 Nd 3.28
Nd (0.8739, 0.8739, 0.6218)  3 Os 3.12-3.13, 9 Tc 3.20-3.33, 3 Nd 3.28
Tc (0.0000, 0.5000, 0.0000)  4 Tc 2.66, 2 Os 2.82
Tc (0.5000, 0.0000, 0.0000)  4 Tc 2.66, 2 Os 2.82
Tc (0.5000, 0.5000, 0.0000)  4 Tc 2.66, 2 Os 2.83
Os (0.5000, 0.5000, 0.5000)  6 Tc 2.82-2.83, 6 Nd 3.12-3.13



Material: Sm3Te3Br
Method: DFT, PBE-GGA
State: optimized geometry

Properties
Formation energy without anion corrections in eV per formula unit: -10.41
Space group: P4/mmm, No. 123

Unit cell a=4.4312 b=4.4312 c=11.9886 alpha=90.00 beta=90.00 gamma=90.00
Last column: nearest neighbours and their distance in Å.
Positions (direct):
Sm (0.0000, 0.0000, 0.0000)  6 Te 3.13-3.21
Sm (0.5000, 0.5000, 0.2609)  1 Br 2.87, 5 Te 3.13
Sm (0.5000, 0.5000, 0.7391)  1 Br 2.87, 5 Te 3.13
Te (0.0000, 0.0000, 0.2682)  5 Sm 3.13-3.21
Te (0.0000, 0.0000, 0.7318)  5 Sm 3.13-3.21
Te (0.5000, 0.5000, 0.0000)  6 Sm 3.13
Br (0.5000, 0.5000, 0.5000)  2 Sm 2.87



Please write out number 1 again, unchanged.
Material: AlPbCl
Method: DFT, PBE-GGA
State: optimized geometry

Properties
Formation energy without anion corrections in eV per formula unit: -0.14
Space group: P3m1, No. 156

Unit cell a=5.1326 b=5.1326 c=3.1793 alpha=90.00 beta=90.00 gamma=120.00
Last column: nearest neighbours and their distance in Å.
Positions (direct):
Al (0.0000, 0.0000, 0.0000)  3 Cl 2.96, 2 Al 3.18
Pb (0.6667, 0.3333, 0.5008)  2 Pb 3.18, 6 Cl 3.36-3.37, 6 Al 3.36
Cl (0.3333, 0.6667, 0.9964)  3 Al 2.96, 2 Cl 3.18